[1]
# NaTl2Cd PBE relaxed
data_NaTl2Cd
_space_group_name_H-M_alt 'P m m n'
_space_group_IT_number 59
_cell_length_a 5.434
_cell_length_b 7.022
_cell_length_c 5.644
_cell_angle_alpha 90.00
_cell_angle_beta 90.00
_cell_angle_gamma 90.00
loop_
_space_group_symop_operation_xyz
'x,y,z'
'-x,-y,-z'
'-x+1/2,-y+1/2,z'
'x+1/2,y+1/2,-z'
'x+1/2,-y,-z'
'-x+1/2,y,z'
'-x,y+1/2,-z'
'x,-y+1/2,z'
loop_
_atom_site_label
_atom_site_fract_x
_atom_site_fract_y
_atom_site_fract_z
Na1 0.250 0.250 0.185
Tl1 0.250 0.501 0.696
Cd1 0.250 0.750 0.192
# Energy above the most stable polymorph in this dataset (meV/atom): 3
# Uncorrected energy (eV per atom): -1.8077


[2]
# RbFeGeSe3 PBE relaxed
data_RbFeGeSe3
_space_group_name_H-M_alt 'C m c m'
_space_group_IT_number 63
_space_group_name_Hall '-C 2c 2'
_cell_length_a 4.113
_cell_length_b 15.411
_cell_length_c 10.908
_cell_angle_alpha 90.00
_cell_angle_beta 90.00
_cell_angle_gamma 90.00
loop_
_atom_site_label
_atom_site_fract_x
_atom_site_fract_y
_atom_site_fract_z
Rb1 0.000 0.241 0.250
Fe1 0.000 0.042 0.750
Ge1 0.000 0.500 0.000
Se1 0.000 0.118 0.563
Se2 0.000 0.451 0.750
# Energy above the most stable polymorph in this dataset (meV/atom): 10
# Magnetization (μB per atom): 0.788
# Uncorrected energy (eV per atom): -4.5224


[3]
# LuZrNb PBE relaxed
data_LuZrNb
_space_group_name_H-M_alt 'F -4 3 m'
_space_group_IT_number 216
_space_group_name_Hall 'F -4 2 3'
_cell_length_a 6.775
_cell_length_b 6.775
_cell_length_c 6.775
_cell_angle_alpha 90.00
_cell_angle_beta 90.00
_cell_angle_gamma 90.00
loop_
_atom_site_label
_atom_site_fract_x
_atom_site_fract_y
_atom_site_fract_z
Lu1 0.000 0.000 0.000
Zr1 0.000 0.000 0.500
Nb1 0.250 0.250 0.750
# Formation energy from the elements (eV/f.u.): 2.28
# Energy above the most stable polymorph in this dataset (meV/atom): 0
# Magnetization (μB per atom): 0.002
# Uncorrected energy (eV per atom): -6.9620


[4]
# Gd4TlIn PBE relaxed
data_Gd4TlIn
_space_group_name_H-M_alt 'P -6 m 2'
_space_group_IT_number 187
_space_group_name_Hall 'P -6 2'
_cell_length_a 5.4431
_cell_length_b 5.4431
_cell_length_c 6.7674
_cell_angle_alpha 90.00
_cell_angle_beta 90.00
_cell_angle_gamma 120.00
loop_
_atom_site_label
_atom_site_fract_x
_atom_site_fract_y
_atom_site_fract_z
Gd1 0.0000 0.0000 0.0000
Gd2 0.3333 0.6667 0.2467
Gd3 0.6667 0.3333 0.5000
Tl1 0.0000 0.0000 0.5000
In1 0.6667 0.3333 0.0000
# Magnetization (μB per atom): 0.209
# Uncorrected energy (eV per atom): -4.2655


[5]
# NdAlGaAu2 PBE relaxed
data_NdAlGaAu2
_space_group_name_H-M_alt 'P 4/n m m'
_space_group_IT_number 129
_cell_length_a 4.411
_cell_length_b 4.411
_cell_length_c 10.615
_cell_angle_alpha 90.00
_cell_angle_beta 90.00
_cell_angle_gamma 90.00
loop_
_space_group_symop_operation_xyz
'x,y,z'
'-x,-y,-z'
'-y+1/2,x,z'
'y+1/2,-x,-z'
'-x+1/2,-y+1/2,z'
'x+1/2,y+1/2,-z'
'y,-x+1/2,z'
'-y,x+1/2,-z'
'x+1/2,-y,-z'
'-x+1/2,y,z'
'-y,-x,-z'
'y,x,z'
'-x,y+1/2,-z'
'x,-y+1/2,z'
'y+1/2,x+1/2,-z'
'-y+1/2,-x+1/2,z'
loop_
_atom_site_label
_atom_site_fract_x
_atom_site_fract_y
_atom_site_fract_z
Nd1 0.250 0.250 0.246
Al1 0.250 0.750 0.500
Ga1 0.250 0.250 0.864
Au1 0.250 0.250 0.626
Au2 0.250 0.750 0.000
# Energy above the most stable polymorph in this dataset (meV/atom): 0
# Magnetization (μB per atom): 0.002
# Uncorrected energy (eV per atom): -4.3233


[6]
# BeReAg PBE relaxed
data_BeReAg
_space_group_name_H-M_alt 'F -4 3 m'
_space_group_IT_number 216
_space_group_name_Hall 'F -4 2 3'
_cell_length_a 5.569
_cell_length_b 5.569
_cell_length_c 5.569
_cell_angle_alpha 90.00
_cell_angle_beta 90.00
_cell_angle_gamma 90.00
loop_
_atom_site_label
_atom_site_fract_x
_atom_site_fract_y
_atom_site_fract_z
Be1 0.000 0.000 0.000
Re1 0.250 0.250 0.250
Ag1 0.250 0.250 0.750
# Energy above the most stable polymorph in this dataset (meV/atom): 0
# Magnetization (μB per atom): 0.394
# Uncorrected energy (eV per atom): -5.3582


[7]
# MgCdSbIr PBE relaxed
data_MgCdSbIr
_space_group_name_H-M_alt 'F -4 3 m'
_space_group_IT_number 216
_space_group_name_Hall 'F -4 2 3'
_cell_length_a 6.719
_cell_length_b 6.719
_cell_length_c 6.719
_cell_angle_alpha 90.00
_cell_angle_beta 90.00
_cell_angle_gamma 90.00
loop_
_atom_site_label
_atom_site_fract_x
_atom_site_fract_y
_atom_site_fract_z
Mg1 0.000 0.000 0.000
Cd1 0.250 0.250 0.750
Sb1 0.250 0.250 0.250
Ir1 0.000 0.000 0.500
# Energy above the most stable polymorph in this dataset (meV/atom): 0
# Magnetization (μB per atom): 0.001
# Uncorrected energy (eV per atom): -3.8319


[8]
# YTaBe2 PBE relaxed
data_YTaBe2
_space_group_name_H-M_alt 'F -4 3 m'
_space_group_IT_number 216
_space_group_name_Hall 'F -4 2 3'
_cell_length_a 6.475
_cell_length_b 6.475
_cell_length_c 6.475
_cell_angle_alpha 90.00
_cell_angle_beta 90.00
_cell_angle_gamma 90.00
loop_
_atom_site_label
_atom_site_fract_x
_atom_site_fract_y
_atom_site_fract_z
Y1 0.000 0.000 0.000
Ta1 0.250 0.250 0.750
Be1 0.000 0.000 0.500
Be2 0.250 0.250 0.250
# Magnetization (μB per atom): 0.551
# Uncorrected energy (eV per atom): -5.5306